Entry from the Alexandria database: an optimized crystal structure of AlSbRu2 (GGA-PBE).

Unit cell a=4.527 b=4.527 c=4.527 alpha=60.00 beta=60.00 gamma=60.00
Positions (direct):
Al1 0.000 0.000 0.000
Sb1 0.750 0.750 0.750
Ru1 0.250 0.250 0.250
Ru2 0.500 0.500 0.500

Its formation energy from raw total energies is 25.0 kJ per mole of atoms. The calculation puts the total DFT energy (no corrections) at -6.3452 eV/atom. Its density of states at the Fermi level is 0.817 states/eV per atom. The calculated density comes out at 8.9 Mg/m³.


Entry from the Alexandria database: an optimized crystal structure of Pm3PrSm2Tm6 (GGA-PBE).

Unit cell a=6.200 b=6.200 c=11.706 alpha=95.05 beta=95.05 gamma=119.98
Positions (direct):
Pm1 0.000 0.000 0.000
Pm2 0.333 0.667 0.000
Pm3 0.667 0.333 0.000
Pr1 0.500 0.500 0.500
Sm1 0.167 0.833 0.500
Sm2 0.833 0.167 0.500
Tm1 0.083 0.416 0.250
Tm2 0.250 0.250 0.750
Tm3 0.416 0.083 0.250
Tm4 0.584 0.917 0.750
Tm5 0.750 0.750 0.250
Tm6 0.917 0.584 0.750

For the calculated formation energy, the calculation gives 0.017 eV/atom. The calculation puts the total DFT energy (no corrections) at -4.5916 eV/atom. Its density of states at the Fermi level is 1.063 states/eV per atom. The calculated density comes out at 8.2 Mg/m³.